An optimized crystal structure of La3Dy6Y2Tm. Source: Alexandria, functional PBE.

* mass density: 7.3 g cm⁻³
* calculated formation energy: 24.1 meV per atom
* raw total energy: -4.959 eV per atom

Cell: 6.230 6.230 11.893 Å, 95.01 95.01 120.02°
Fractional coordinates of all 12 atoms:
1 La 0.000 0.000 0.000
2 La 0.333 0.667 0.000
3 La 0.667 0.333 0.000
4 Dy 0.087 0.419 0.256
5 Dy 0.249 0.249 0.744
6 Dy 0.419 0.087 0.256
7 Dy 0.581 0.913 0.744
8 Dy 0.751 0.751 0.256
9 Dy 0.913 0.581 0.744
10 Y 0.167 0.833 0.500
11 Y 0.833 0.167 0.500
12 Tm 0.500 0.500 0.500